Model i:
VASP calculation (PBE) on a geometry-optimized BiCOF2 structure.

Cell lengths 4.497, 4.497, 4.419 Å; angles 90.00, 90.00, 90.00 degrees
Space group P4/mmm (No. 123)
Inequivalent atoms, fractional coordinates:
Bi: 0.000 0.000 0.000 (multiplicity 1)
C: 0.500 0.500 0.500 (multiplicity 1)
O: 0.000 0.000 0.500 (multiplicity 1)
F: 0.000 0.500 0.000 (multiplicity 2)

Output
The value obtained for the density of states at the Fermi level is 3.7 states/eV/f.u. Its total magnetization is 1.5 μB/f.u. For the density, the calculation gives 5.11 g/cm3.

Model ii:
VASP calculation (PBE) on a geometry-optimized BiCOF2 structure.

Cell lengths 4.703, 4.703, 3.002 Å; angles 90.00, 90.00, 90.00 degrees
Space group P4/mmm (No. 123)
Inequivalent atoms, fractional coordinates:
Bi: 0.000 0.000 0.000 (multiplicity 1)
C: 0.500 0.500 0.500 (multiplicity 1)
O: 0.500 0.500 0.000 (multiplicity 1)
F: 0.000 0.500 0.500 (multiplicity 2)

Output
The value obtained for the density of states at the Fermi level is 2.5 states/eV/f.u. Its total magnetization is 0.0 μB/f.u. For the density, the calculation gives 6.88 g/cm3.

Energetically preferred structure: model ii | next structure: +17.8 kJ/mol of atoms

Model i:
VASP calculation (PBE) on a geometry-optimized GaBi2C structure.

Cell lengths 7.007, 7.007, 7.007 Å; angles 90.00, 90.00, 90.00 degrees
Space group Fm-3m (No. 225)
Inequivalent atoms, fractional coordinates:
Ga: 0.000 0.000 0.000 (multiplicity 4)
Bi: 0.250 0.250 0.250 (multiplicity 8)
C: 0.000 0.000 0.500 (multiplicity 4)

Output
The value obtained for the density of states at the Fermi level is 2.1 states/eV/f.u. Its total magnetization is 0.0 μB/f.u. For the density, the calculation gives 9.65 g/cm3.

Model ii:
VASP calculation (PBE) on a geometry-optimized GaBi2C structure.

Cell lengths 6.142, 6.142, 11.525 Å; angles 90.00, 90.00, 90.00 degrees
Space group I-42d (No. 122)
Inequivalent atoms, fractional coordinates:
Ga: 0.000 0.000 0.000 (multiplicity 4)
Bi: 0.191 0.250 0.625 (multiplicity 8)
C: 0.000 0.000 0.500 (multiplicity 4)

Output
The value obtained for the density of states at the Fermi level is 2.3 states/eV/f.u. Its total magnetization is 0.0 μB/f.u. For the density, the calculation gives 7.63 g/cm3.

Energetically preferred structure: model ii | next structure: +37.8 kJ/mol of atoms

Model i:
VASP calculation (PBE) on a geometry-optimized GaBi3C structure.

Cell lengths 5.476, 5.476, 5.476 Å; angles 90.00, 90.00, 90.00 degrees
Space group Pm-3m (No. 221)
Inequivalent atoms, fractional coordinates:
Ga: 0.000 0.000 0.000 (multiplicity 1)
Bi: 0.000 0.000 0.500 (multiplicity 3)
C: 0.500 0.500 0.500 (multiplicity 1)

Output
The value obtained for the density of states at the Fermi level is 8.0 states/eV/f.u. Its total magnetization is 1.7 μB/f.u. For the density, the calculation gives 7.17 g/cm3.

Model ii:
VASP calculation (PBE) on a geometry-optimized GaBi3C structure.

Cell lengths 5.048, 5.048, 5.048 Å; angles 90.00, 90.00, 90.00 degrees
Space group Pm-3m (No. 221)
Inequivalent atoms, fractional coordinates:
Ga: 0.000 0.000 0.000 (multiplicity 1)
Bi: 0.000 0.500 0.500 (multiplicity 3)
C: 0.500 0.500 0.500 (multiplicity 1)

Output
The value obtained for the density of states at the Fermi level is 1.9 states/eV/f.u. Its total magnetization is 0.0 μB/f.u. For the density, the calculation gives 9.15 g/cm3.

Energetically preferred structure: model ii | next structure: +87.4 kJ/mol of atoms

Model i:
VASP calculation (PBE) on a geometry-optimized Ga3BiC structure.

Cell lengths 5.657, 5.657, 5.657 Å; angles 90.00, 90.00, 90.00 degrees
Space group Pm-3m (No. 221)
Inequivalent atoms, fractional coordinates:
Ga: 0.000 0.000 0.500 (multiplicity 3)
Bi: 0.000 0.000 0.000 (multiplicity 1)
C: 0.500 0.500 0.500 (multiplicity 1)

Output
The value obtained for the density of states at the Fermi level is 2.9 states/eV/f.u. Its total magnetization is 2.1 μB/f.u. For the density, the calculation gives 3.95 g/cm3.

Model ii:
VASP calculation (PBE) on a geometry-optimized Ga3BiC structure.

Cell lengths 4.510, 4.510, 4.510 Å; angles 90.00, 90.00, 90.00 degrees
Space group Pm-3m (No. 221)
Inequivalent atoms, fractional coordinates:
Ga: 0.000 0.000 0.500 (multiplicity 3)
Bi: 0.500 0.500 0.500 (multiplicity 1)
C: 0.000 0.000 0.000 (multiplicity 1)

Output
The value obtained for the density of states at the Fermi level is 0.9 states/eV/f.u. Its total magnetization is 0.0 μB/f.u. For the density, the calculation gives 7.79 g/cm3.

Energetically preferred structure: model ii | next structure: +126.2 kJ/mol of atoms

Model i:
VASP calculation (PBE) on a geometry-optimized GeBiC3 structure.

Cell lengths 4.085, 4.085, 4.085 Å; angles 90.00, 90.00, 90.00 degrees
Space group Pm-3m (No. 221)
Inequivalent atoms, fractional coordinates:
Ge: 0.000 0.000 0.000 (multiplicity 1)
Bi: 0.500 0.500 0.500 (multiplicity 1)
C: 0.000 0.000 0.500 (multiplicity 3)

Output
The value obtained for the density of states at the Fermi level is 5.0 states/eV/f.u. Its total magnetization is 0.0 μB/f.u. For the density, the calculation gives 7.74 g/cm3.

Model ii:
VASP calculation (PBE) on a geometry-optimized GeBiC3 structure.

Cell lengths 4.510, 4.510, 4.510 Å; angles 90.00, 90.00, 90.00 degrees
Space group Pm-3m (No. 221)
Inequivalent atoms, fractional coordinates:
Ge: 0.000 0.000 0.000 (multiplicity 1)
Bi: 0.500 0.500 0.500 (multiplicity 1)
C: 0.000 0.500 0.500 (multiplicity 3)

Output
The value obtained for the density of states at the Fermi level is 4.0 states/eV/f.u. Its total magnetization is 0.0 μB/f.u. For the density, the calculation gives 5.75 g/cm3.

Energetically preferred structure: model i | next structure: +86.5 kJ/mol of atoms

Model i:
VASP calculation (PBE) on a geometry-optimized Ge3BiC structure.

Cell lengths 5.587, 5.587, 5.587 Å; angles 90.00, 90.00, 90.00 degrees
Space group Pm-3m (No. 221)
Inequivalent atoms, fractional coordinates:
Ge: 0.000 0.000 0.500 (multiplicity 3)
Bi: 0.000 0.000 0.000 (multiplicity 1)
C: 0.500 0.500 0.500 (multiplicity 1)

Output
The value obtained for the density of states at the Fermi level is 3.8 states/eV/f.u. Its total magnetization is 1.1 μB/f.u. For the density, the calculation gives 4.18 g/cm3.

Model ii:
VASP calculation (PBE) on a geometry-optimized Ge3BiC structure.

Cell lengths 4.580, 4.580, 4.580 Å; angles 90.00, 90.00, 90.00 degrees
Space group Pm-3m (No. 221)
Inequivalent atoms, fractional coordinates:
Ge: 0.000 0.000 0.500 (multiplicity 3)
Bi: 0.500 0.500 0.500 (multiplicity 1)
C: 0.000 0.000 0.000 (multiplicity 1)

Output
The value obtained for the density of states at the Fermi level is 3.4 states/eV/f.u. Its total magnetization is 0.0 μB/f.u. For the density, the calculation gives 7.58 g/cm3.

Energetically preferred structure: model ii | next structure: +142.3 kJ/mol of atoms

Model i:
VASP calculation (PBE) on a geometry-optimized YHf2BiC structure.

Cell lengths 5.353, 5.353, 5.749 Å; angles 90.00, 90.00, 90.00 degrees
Space group P4/mmm (No. 123)
Inequivalent atoms, fractional coordinates:
Y: 0.000 0.000 0.000 (multiplicity 1)
Hf: 0.000 0.500 0.500 (multiplicity 2)
Bi: 0.000 0.000 0.500 (multiplicity 1)
C: 0.500 0.500 0.000 (multiplicity 1)

Output
The value obtained for the density of states at the Fermi level is 5.0 states/eV/f.u. Its total magnetization is 2.1 μB/f.u. For the density, the calculation gives 6.72 g/cm3.

Model ii:
VASP calculation (PBE) on a geometry-optimized YHf2BiC structure.

Cell lengths 4.458, 4.458, 5.606 Å; angles 90.00, 90.00, 90.00 degrees
Space group P4/mmm (No. 123)
Inequivalent atoms, fractional coordinates:
Y: 0.000 0.000 0.000 (multiplicity 1)
Hf: 0.000 0.500 0.500 (multiplicity 2)
Bi: 0.500 0.500 0.000 (multiplicity 1)
C: 0.500 0.500 0.500 (multiplicity 1)

Output
The value obtained for the density of states at the Fermi level is 4.2 states/eV/f.u. Its total magnetization is 0.0 μB/f.u. For the density, the calculation gives 9.94 g/cm3.

Energetically preferred structure: model ii | next structure: +228.7 kJ/mol of atoms

Model i:
VASP calculation (PBE) on a geometry-optimized Hg2BiC structure.

Cell lengths 7.108, 7.108, 7.108 Å; angles 90.00, 90.00, 90.00 degrees
Space group Fm-3m (No. 225)
Inequivalent atoms, fractional coordinates:
Hg: 0.250 0.250 0.250 (multiplicity 8)
Bi: 0.000 0.000 0.000 (multiplicity 4)
C: 0.000 0.000 0.500 (multiplicity 4)

Output
The value obtained for the density of states at the Fermi level is 4.0 states/eV/f.u. Its total magnetization is 0.0 μB/f.u. For the density, the calculation gives 11.51 g/cm3.

Model ii:
VASP calculation (PBE) on a geometry-optimized Hg2BiC structure.

Cell lengths 6.851, 6.851, 9.698 Å; angles 90.00, 90.00, 90.00 degrees
Space group I-42d (No. 122)
Inequivalent atoms, fractional coordinates:
Hg: 0.002 0.750 0.125 (multiplicity 8)
Bi: 0.000 0.000 0.500 (multiplicity 4)
C: 0.000 0.000 0.000 (multiplicity 4)

Output
The value obtained for the density of states at the Fermi level is 0.3 states/eV/f.u. Its total magnetization is 0.0 μB/f.u. For the density, the calculation gives 9.08 g/cm3.

Energetically preferred structure: model ii | next structure: +51.2 kJ/mol of atoms

Model i:
VASP calculation (PBE) on a geometry-optimized Hg3BiC structure.

Cell lengths 5.921, 5.921, 5.921 Å; angles 90.00, 90.00, 90.00 degrees
Space group Pm-3m (No. 221)
Inequivalent atoms, fractional coordinates:
Hg: 0.000 0.000 0.500 (multiplicity 3)
Bi: 0.000 0.000 0.000 (multiplicity 1)
C: 0.500 0.500 0.500 (multiplicity 1)

Output
The value obtained for the density of states at the Fermi level is 4.1 states/eV/f.u. Its total magnetization is 2.5 μB/f.u. For the density, the calculation gives 6.58 g/cm3.

Model ii:
VASP calculation (PBE) on a geometry-optimized Hg3BiC structure.

Cell lengths 4.856, 4.856, 4.856 Å; angles 90.00, 90.00, 90.00 degrees
Space group Pm-3m (No. 221)
Inequivalent atoms, fractional coordinates:
Hg: 0.000 0.000 0.500 (multiplicity 3)
Bi: 0.500 0.500 0.500 (multiplicity 1)
C: 0.000 0.000 0.000 (multiplicity 1)

Output
The value obtained for the density of states at the Fermi level is 5.2 states/eV/f.u. Its total magnetization is 0.0 μB/f.u. For the density, the calculation gives 11.93 g/cm3.

Energetically preferred structure: model ii | next structure: +47.0 kJ/mol of atoms

Model i:
VASP calculation (PBE) on a geometry-optimized HgBi3C structure.

Cell lengths 5.731, 5.731, 5.731 Å; angles 90.00, 90.00, 90.00 degrees
Space group Pm-3m (No. 221)
Inequivalent atoms, fractional coordinates:
Hg: 0.000 0.000 0.000 (multiplicity 1)
Bi: 0.000 0.000 0.500 (multiplicity 3)
C: 0.500 0.500 0.500 (multiplicity 1)

Output
The value obtained for the density of states at the Fermi level is 8.8 states/eV/f.u. Its total magnetization is 1.4 μB/f.u. For the density, the calculation gives 7.41 g/cm3.

Model ii:
VASP calculation (PBE) on a geometry-optimized HgBi3C structure.

Cell lengths 5.067, 5.067, 5.067 Å; angles 90.00, 90.00, 90.00 degrees
Space group Pm-3m (No. 221)
Inequivalent atoms, fractional coordinates:
Hg: 0.000 0.000 0.000 (multiplicity 1)
Bi: 0.000 0.500 0.500 (multiplicity 3)
C: 0.500 0.500 0.500 (multiplicity 1)

Output
The value obtained for the density of states at the Fermi level is 4.7 states/eV/f.u. Its total magnetization is 0.0 μB/f.u. For the density, the calculation gives 10.72 g/cm3.

Energetically preferred structure: model ii | next structure: +106.5 kJ/mol of atoms

Model i:
VASP calculation (PBE) on a geometry-optimized Ho4BiC2 structure.

Cell lengths 3.6122, 3.6122, 42.2553 Å; angles 90.00, 90.00, 120.00 degrees
Space group R-3m (No. 166, hexagonal axes)
Inequivalent atoms, fractional coordinates:
Ho: 0.0000 0.0000 0.1248 (multiplicity 6)
Ho: 0.0000 0.0000 0.2712 (multiplicity 6)
Bi: 0.0000 0.0000 0.0000 (multiplicity 3)
C: 0.0000 0.0000 0.4266 (multiplicity 6)

Output
The value obtained for the density of states at the Fermi level is 4.2 states/eV/f.u. Its total magnetization is 0.0 μB/f.u. For the density, the calculation gives 9.31 g/cm3.

Model ii:
VASP calculation (PBE) on a geometry-optimized Ho4BiC2 structure.

Cell lengths 3.786, 12.418, 12.924 Å; angles 90.00, 90.00, 90.00 degrees
Space group Cmcm (No. 63)
Inequivalent atoms, fractional coordinates:
Ho: 0.000 0.000 0.000 (multiplicity 4)
Ho: 0.000 0.259 0.100 (multiplicity 8)
Ho: 0.000 0.412 0.750 (multiplicity 4)
Bi: 0.000 0.110 0.750 (multiplicity 4)
C: 0.000 0.363 0.558 (multiplicity 8)

Output
The value obtained for the density of states at the Fermi level is 3.1 states/eV/f.u. Its total magnetization is 0.8 μB/f.u. For the density, the calculation gives 9.76 g/cm3.

Energetically preferred structure: model ii | next structure: +0.6 kJ/mol of atoms

Model i:
VASP calculation (PBE) on a geometry-optimized Ho4BiC structure.

Cell lengths 8.417, 11.631, 6.389 Å; angles 90.00, 104.34, 90.00 degrees
Space group C2/c (No. 15)
Inequivalent atoms, fractional coordinates:
Ho: 0.097 0.134 0.050 (multiplicity 8)
Ho: 0.202 0.390 0.387 (multiplicity 8)
Bi: 0.000 0.367 0.750 (multiplicity 4)
C: 0.000 0.011 0.750 (multiplicity 4)

Output
The value obtained for the density of states at the Fermi level is 4.6 states/eV/f.u. Its total magnetization is 0.0 μB/f.u. For the density, the calculation gives 9.65 g/cm3.

Model ii:
VASP calculation (PBE) on a geometry-optimized Ho4BiC structure.

Cell lengths 4.911, 18.708, 6.739 Å; angles 90.00, 90.00, 90.00 degrees
Space group Cmc2_1 (No. 36)
Inequivalent atoms, fractional coordinates:
Ho: 0.000 0.002 0.000 (multiplicity 4)
Ho: 0.000 0.183 0.486 (multiplicity 4)
Ho: 0.000 0.187 0.989 (multiplicity 4)
Ho: 0.000 0.401 0.244 (multiplicity 4)
Bi: 0.000 0.411 0.746 (multiplicity 4)
C: 0.000 0.096 0.743 (multiplicity 4)

Output
The value obtained for the density of states at the Fermi level is 4.5 states/eV/f.u. Its total magnetization is 0.0 μB/f.u. For the density, the calculation gives 9.45 g/cm3.

Energetically preferred structure: model ii | next structure: +10.4 kJ/mol of atoms

Model i:
VASP calculation (PBE) on a geometry-optimized BiC3I structure.

Cell lengths 4.656, 4.656, 4.656 Å; angles 90.00, 90.00, 90.00 degrees
Space group Pm-3m (No. 221)
Inequivalent atoms, fractional coordinates:
Bi: 0.000 0.000 0.000 (multiplicity 1)
C: 0.000 0.000 0.500 (multiplicity 3)
I: 0.500 0.500 0.500 (multiplicity 1)

Output
The value obtained for the density of states at the Fermi level is 3.1 states/eV/f.u. Its total magnetization is 2.7 μB/f.u. For the density, the calculation gives 6.12 g/cm3.

Model ii:
VASP calculation (PBE) on a geometry-optimized BiC3I structure.

Cell lengths 4.246, 4.246, 4.246 Å; angles 90.00, 90.00, 90.00 degrees
Space group Pm-3m (No. 221)
Inequivalent atoms, fractional coordinates:
Bi: 0.000 0.000 0.000 (multiplicity 1)
C: 0.000 0.500 0.500 (multiplicity 3)
I: 0.500 0.500 0.500 (multiplicity 1)

Output
The value obtained for the density of states at the Fermi level is 4.3 states/eV/f.u. Its total magnetization is 0.0 μB/f.u. For the density, the calculation gives 8.07 g/cm3.

Energetically preferred structure: model ii | next structure: +16.3 kJ/mol of atoms